4
Lattice="0.000 3.119 3.119 3.119 0.000 3.119 3.119 3.119 0.000" Properties=species:S:1:pos:R:3 comment="ZrBe2Au PBE-GGA relaxed" dft_energy_ev_per_atom=-4.86 pbc="T T T"
Au 1.559 1.559 1.559
Be 0.000 0.000 0.000
Be 4.678 4.678 4.678
Zr 3.119 3.119 3.119